[1]
Entry from Alexandria: a relaxed Ta3PtC crystal (PBE).

Lattice parameters (Å, degrees): 5.4395 8.2365 7.6225 114.33 90.00 90.00
Positions (direct):
1 Ta 0.9112 0.3493 0.0583
2 Ta 0.0888 0.6507 0.9417
3 Ta 0.4307 0.5390 0.1943
4 Ta 0.4112 0.1507 0.9417
5 Ta 0.5888 0.8493 0.0583
6 Ta 0.9307 0.9610 0.8057
7 Ta 0.6306 0.2784 0.3643
8 Ta 0.5693 0.4610 0.8057
9 Ta 0.0693 0.0390 0.1943
10 Ta 0.8694 0.7784 0.3643
11 Ta 0.3694 0.7216 0.6357
12 Ta 0.1306 0.2216 0.6357
13 Pt 0.8281 0.6048 0.6112
14 Pt 0.3281 0.8952 0.3888
15 Pt 0.6719 0.1048 0.6112
16 Pt 0.1719 0.3952 0.3888
17 C 0.2558 0.8947 0.9235
18 C 0.7558 0.6053 0.0765
19 C 0.7442 0.1053 0.0765
20 C 0.2442 0.3947 0.9235

formation energy = -0.435 eV/atom
offset from the most stable computed form = 0 meV per atom
total moment = 0.0000 μB/atom
space group = P2_1/c (14)


[2]
Entry from Alexandria: a relaxed TaPtC3 crystal (PBE).

Lattice parameters (Å, degrees): 3.9589 3.9589 3.9589 90.00 90.00 90.00
Positions (direct):
1 Ta 0.5000 0.5000 0.5000
2 C 0.0000 0.5000 0.0000
3 C 0.0000 0.0000 0.5000
4 C 0.5000 0.0000 0.0000
5 Pt 0.0000 0.0000 0.0000

formation energy = 2.377 eV/atom
offset from the most stable computed form = 200 meV per atom
total moment = 0.0000 μB/atom
space group = Pm-3m (221)


[3]
Entry from Alexandria: a relaxed Ta2PtC crystal (PBE).

Lattice parameters (Å, degrees): 3.1052 3.1001 7.1455 90.01 102.56 119.94
Positions (direct):
1 Pt 0.0232 0.7528 0.5515
2 C 0.0232 0.2528 0.0515
3 Ta 0.5705 0.5264 0.8732
4 Ta 0.4759 0.9792 0.2299

formation energy = -0.602 eV/atom
total moment = 0.0000 μB/atom
space group = R-3m (166)


[4]
Entry from Alexandria: a relaxed Ta4Pt2C crystal (PBE).

Lattice parameters (Å, degrees): 3.1477 7.2444 9.9385 90.00 90.00 90.00
Positions (direct):
1 Ta 0.0000 0.6422 0.8088
2 Ta 0.0000 0.8578 0.3088
3 Ta 0.5000 0.1812 0.4284
4 Ta 0.5000 0.6812 0.0716
5 Ta 0.5000 0.3188 0.9284
6 Ta 0.5000 0.8188 0.5716
7 Ta 0.0000 0.3578 0.1912
8 Ta 0.0000 0.1422 0.6912
9 Pt 0.5000 0.9458 0.8676
10 Pt 0.5000 0.5542 0.3676
11 Pt 0.5000 0.0542 0.1324
12 Pt 0.5000 0.4458 0.6324
13 C 0.0000 0.0000 0.5000
14 C 0.0000 0.5000 0.0000

formation energy = -0.474 eV/atom
total moment = 0.0000 μB/atom
space group = Pbam (55)


[5]
Entry from Alexandria: a relaxed Ta3PtC crystal (PBE).

Lattice parameters (Å, degrees): 4.2579 4.2579 4.2579 90.00 90.00 90.00
Positions (direct):
1 Ta 0.0000 0.5000 0.0000
2 Ta 0.0000 0.0000 0.5000
3 Ta 0.5000 0.0000 0.0000
4 Pt 0.5000 0.5000 0.5000
5 C 0.0000 0.0000 0.0000

formation energy = -0.429 eV/atom
offset from the most stable computed form = 6 meV per atom
total moment = 0.0000 μB/atom
space group = Pm-3m (221)


[6]
Entry from Alexandria: a relaxed YTaPt2C crystal (PBE).

Lattice parameters (Å, degrees): 4.2274 4.6250 4.2274 90.00 90.00 90.00
Positions (direct):
1 Pt 0.0000 0.0000 0.5000
2 Pt 0.5000 0.0000 0.0000
3 Y 0.0000 0.5000 0.0000
4 C 0.0000 0.0000 0.0000
5 Ta 0.5000 0.5000 0.5000

formation energy = 0.236 eV/atom
total moment = 0.0000 μB/atom
space group = P4/mmm (123)


[7]
Entry from Alexandria: a relaxed Tb2PtC crystal (PBE).

Lattice parameters (Å, degrees): 3.7111 3.7111 7.0690 74.78 74.78 60.00
Positions (direct):
1 C 0.5000 0.5000 0.5000
2 Pt 0.0000 0.0000 0.0000
3 Tb 0.7654 0.7654 0.7037
4 Tb 0.2346 0.2346 0.2963

formation energy = -0.600 eV/atom
total moment = 0.0000 μB/atom
space group = R-3m (166)


[8]
Entry from Alexandria: a relaxed TbPtC crystal (PBE).

Lattice parameters (Å, degrees): 3.7863 5.2686 6.7640 115.92 73.81 68.92
Positions (direct):
1 Pt 0.5930 0.2096 0.8592
2 Pt 0.1196 0.4412 0.5741
3 Tb 0.5459 0.7565 0.4069
4 Tb 0.1667 0.8944 0.0263
5 C 0.9398 0.4439 0.9322
6 C 0.7728 0.2069 0.5010

formation energy = -0.218 eV/atom
total moment = 0.0000 μB/atom
space group = C2/m (12)


[9]
Entry from Alexandria: a relaxed Tb4Pt2C crystal (PBE).

Lattice parameters (Å, degrees): 4.7896 4.7896 7.9358 72.44 72.44 90.00
Positions (direct):
1 Tb 0.1738 0.1738 0.6524
2 Tb 0.8262 0.8262 0.3476
3 Tb 0.5000 0.0000 0.0000
4 Tb 0.0000 0.5000 0.0000
5 C 0.0000 0.0000 0.0000
6 Pt 0.3683 0.3683 0.2633
7 Pt 0.6317 0.6317 0.7367

formation energy = -0.653 eV/atom
total moment = 0.0000 μB/atom
space group = I4/mmm (139)


[10]
Entry from Alexandria: a relaxed Tb3PtC crystal (PBE).

Lattice parameters (Å, degrees): 3.6934 8.6519 13.7782 90.00 90.00 90.00
Positions (direct):
1 Pt 0.2500 0.9001 0.3118
2 Pt 0.7500 0.5999 0.8118
3 Pt 0.7500 0.0999 0.6882
4 Pt 0.2500 0.4001 0.1882
5 Tb 0.2500 0.5017 0.3938
6 Tb 0.7500 0.4983 0.6062
7 Tb 0.7500 0.3247 0.0335
8 Tb 0.2500 0.0017 0.1062
9 Tb 0.2500 0.1753 0.5335
10 Tb 0.7500 0.8247 0.4665
11 Tb 0.2500 0.8130 0.6955
12 Tb 0.2500 0.3130 0.8045
13 Tb 0.7500 0.1870 0.3045
14 Tb 0.7500 0.9983 0.8938
15 Tb 0.7500 0.6870 0.1955
16 Tb 0.2500 0.6753 0.9665
17 C 0.2500 0.6616 0.5483
18 C 0.7500 0.8384 0.0483
19 C 0.7500 0.3384 0.4517
20 C 0.2500 0.1616 0.9517

formation energy = -0.640 eV/atom
total moment = 0.0000 μB/atom
space group = Pnma (62)


[11]
Entry from Alexandria: a relaxed Tb6Pt2C crystal (PBE).

Lattice parameters (Å, degrees): 6.5730 7.1265 9.6151 90.00 88.42 90.00
Positions (direct):
1 Tb 0.1768 0.3013 0.5589
2 Tb 0.3830 0.5358 0.2417
3 Tb 0.1170 0.0358 0.2583
4 Tb 0.6170 0.4642 0.7583
5 Tb 0.8232 0.6987 0.4411
6 Tb 0.1933 0.3218 0.9429
7 Tb 0.3067 0.8218 0.5571
8 Tb 0.6933 0.1782 0.4429
9 Tb 0.8830 0.9642 0.7417
10 Tb 0.3232 0.8013 0.9411
11 Tb 0.8067 0.6782 0.0571
12 Tb 0.6768 0.1987 0.0589
13 Pt 0.0403 0.5924 0.7539
14 Pt 0.5403 0.9076 0.2539
15 Pt 0.9597 0.4076 0.2461
16 Pt 0.4597 0.0924 0.7461
17 C 0.0000 0.0000 0.5000
18 C 0.5000 0.5000 0.0000

formation energy = -0.699 eV/atom
total moment = 0.0000 μB/atom
space group = P2_1/c (14)


[12]
Entry from Alexandria: a relaxed TcPtC3 crystal (PBE).

Lattice parameters (Å, degrees): 3.9461 3.9461 3.9461 90.00 90.00 90.00
Positions (direct):
1 Pt 0.0000 0.0000 0.0000
2 C 0.0000 0.0000 0.5000
3 C 0.0000 0.5000 0.0000
4 C 0.5000 0.0000 0.0000
5 Tc 0.5000 0.5000 0.5000

formation energy = 2.695 eV/atom
offset from the most stable computed form = 551 meV per atom
total moment = 0.0001 μB/atom
space group = Pm-3m (221)


[13]
Entry from Alexandria: a relaxed Tc2PtC crystal (PBE).

Lattice parameters (Å, degrees): 5.0140 5.0140 6.2949 66.53 66.53 90.00
Positions (direct):
1 Tc 0.5348 0.1250 0.2500
2 Tc 0.3750 0.4652 0.7500
3 Tc 0.8750 0.7848 0.7500
4 Tc 0.2152 0.6250 0.2500
5 Pt 0.0000 0.0000 0.0000
6 Pt 0.7500 0.2500 0.5000
7 C 0.5000 0.5000 0.0000
8 C 0.2500 0.7500 0.5000

formation energy = 0.735 eV/atom
total moment = 0.0000 μB/atom
space group = I-42d (122)


[14]
Entry from Alexandria: a relaxed TcPtC3 crystal (PBE).

Lattice parameters (Å, degrees): 4.0026 4.0026 4.0026 90.00 90.00 90.00
Positions (direct):
1 Tc 0.0000 0.0000 0.0000
2 C 0.0000 0.5000 0.0000
3 C 0.5000 0.0000 0.0000
4 C 0.0000 0.0000 0.5000
5 Pt 0.5000 0.5000 0.5000

formation energy = 2.144 eV/atom
offset from the most stable computed form = 0 meV per atom
total moment = 0.0000 μB/atom
space group = Pm-3m (221)


[15]
Entry from Alexandria: a relaxed V2TcPtC crystal (PBE).

Lattice parameters (Å, degrees): 4.5985 3.8507 4.5985 90.00 90.00 90.00
Positions (direct):
1 V 0.0000 0.0000 0.5000
2 V 0.5000 0.0000 0.0000
3 Pt 0.5000 0.5000 0.5000
4 C 0.0000 0.5000 0.0000
5 Tc 0.0000 0.0000 0.0000

formation energy = 1.283 eV/atom
offset from the most stable computed form = 1600 meV per atom
total moment = 0.0009 μB/atom
space group = P4/mmm (123)


[16]
Entry from Alexandria: a relaxed V2TcPtC crystal (PBE).

Lattice parameters (Å, degrees): 4.0028 4.0028 3.9903 90.00 90.00 90.00
Positions (direct):
1 V 0.0000 0.5000 0.0000
2 V 0.5000 0.0000 0.0000
3 Pt 0.5000 0.5000 0.5000
4 C 0.0000 0.0000 0.0000
5 Tc 0.0000 0.0000 0.5000

formation energy = -0.317 eV/atom
offset from the most stable computed form = 0 meV per atom
total moment = 0.0000 μB/atom
space group = P4/mmm (123)


[17]
Entry from Alexandria: a relaxed Te2PtC crystal (PBE).

Lattice parameters (Å, degrees): 5.7062 5.7062 6.8819 65.51 65.51 90.00
Positions (direct):
1 Te 0.5838 0.1250 0.2500
2 Te 0.1662 0.6250 0.2500
3 Te 0.3750 0.4162 0.7500
4 Te 0.8750 0.8338 0.7500
5 Pt 0.0000 0.0000 0.0000
6 Pt 0.7500 0.2500 0.5000
7 C 0.2500 0.7500 0.5000
8 C 0.5000 0.5000 0.0000

total moment = 0.0000 μB/atom
ΔE_f (raw) = 757 meV/atom
space group = I-42d (122)


[18]
Entry from Alexandria: a relaxed Te2PtC crystal (PBE).

Lattice parameters (Å, degrees): 8.5593 8.5593 8.5593 22.28 22.28 22.28
Positions (direct):
1 C 0.5000 0.5000 0.5000
2 Te 0.8961 0.8961 0.8961
3 Te 0.1039 0.1039 0.1039
4 Pt 0.0000 0.0000 0.0000

total moment = 0.0000 μB/atom
ΔE_f (raw) = 1187 meV/atom
space group = R-3m (166)


[19]
Entry from Alexandria: a relaxed TePt2C crystal (PBE).

Lattice parameters (Å, degrees): 4.4923 4.4923 4.4923 60.00 60.00 60.00
Positions (direct):
1 Pt 0.7500 0.7500 0.7500
2 Pt 0.2500 0.2500 0.2500
3 C 0.0000 0.0000 0.0000
4 Te 0.5000 0.5000 0.5000

offset from the most stable computed form = 857 meV per atom
total moment = 0.0000 μB/atom
ΔE_f (raw) = 1237 meV/atom
space group = Fm-3m (225)


[20]
Entry from Alexandria: a relaxed TePtC2 crystal (PBE).

Lattice parameters (Å, degrees): 5.0326 5.0326 6.1550 65.87 65.87 90.00
Positions (direct):
1 Te 0.5000 0.5000 0.0000
2 Te 0.2500 0.7500 0.5000
3 C 0.6661 0.1250 0.2500
4 C 0.0839 0.6250 0.2500
5 C 0.8750 0.9161 0.7500
6 C 0.3750 0.3339 0.7500
7 Pt 0.0000 0.0000 0.0000
8 Pt 0.7500 0.2500 0.5000

total moment = 0.0000 μB/atom
ΔE_f (raw) = 1382 meV/atom
space group = I-42d (122)